(1)
DFT (GGA-PBE) results for a geometry-optimized FeTc5 structure.

Structure (POSCAR):
```
FeTc5
1.0
-1.782 0.676 1.957
1.952 -4.520 1.433
4.836 1.593 3.855
Tc Fe
5 1
Direct
0.054 0.107 0.384
0.717 0.435 0.053
0.394 0.787 0.732
0.339 0.678 0.327
0.664 0.327 0.672
0.000 0.999 0.998
```

The value obtained for the formation energy is 0.040 eV/atom.

(2)
DFT (GGA-PBE) results for a geometry-optimized P2HPd2 structure.

Structure (POSCAR):
```
P2HPd2
1.0
-5.838 -0.651 -0.273
0.660 -4.228 -4.033
0.173 -2.788 2.951
P Pd H
4 4 2
Direct
0.377 0.123 0.500
0.877 0.377 0.500
0.623 0.877 0.500
0.123 0.623 0.500
0.770 0.730 0.000
0.270 0.770 0.000
0.230 0.270 0.000
0.730 0.230 0.000
0.500 0.500 0.000
0.000 0.000 0.000
```

The calculation puts the total DFT energy (no corrections) at -48.78 eV/cell.

Calculated spin magnetization, 0.01 0.00 μB per formula unit (same order as the records).